Computed, not measured: a relaxed Tl2CoF2 crystal at the GGA+U level of DFT.

Calculated values
spin magnetization = 2.32 μB per formula unit
excess energy over the best structure of this formula in the dataset = 0.00 eV/f.u.
D(E_F) = 1.7 states/eV per cell
crystal system = tetragonal

Lattice parameters (Å, degrees): 5.904 5.904 5.393 56.81 56.81 90.00
Each line ends with the local moment (μB).
Fractional positions:
Tl 0.750 0.250 0.500  0.00
Tl 0.250 0.750 0.500  0.00
Co 0.000 0.000 0.000  2.22
F 0.267 0.267 0.465  0.06
F 0.733 0.733 0.535  0.06